! Al2InIrPd PBEsol optimized geometry; values from VASP
! E_tot = -5.174 eV/atom
! Space-group type = P4/mmm
! Spin magnetization = 0.001 μB/cell
&SYSTEM
  ibrav = 0, nat = 5, ntyp = 4
/
ATOMIC_SPECIES
Ir 192.22 Ir.upf
Al 26.98 Al.upf
Pd 106.42 Pd.upf
In 114.82 In.upf
CELL_PARAMETERS angstrom
-0.219 0.709 -4.535
4.500 -0.859 -0.352
-1.004 -4.965 -0.728
ATOMIC_POSITIONS angstrom
Ir 0.000 0.000 0.000
Al 2.250 -0.429 -0.176
Al -0.110 0.354 -2.267
Pd -0.502 -2.482 -0.364
In 1.638 -2.557 -2.807